[1]
Compound: RePtAu2
Source: Alexandria via LeMat-Bulk
Functional: PBE
Structure: optimized geometry

Lattice parameters (Å, degrees): 4.8615 4.8615 4.8615 130.14 130.14 73.18
Closest atoms and distances in Å follow each position.
Fractional coordinates of all 4 atoms:
1 Au 0.0000 0.0000 0.0000  4 Pt 2.83, 4 Re 2.83, 4 Au 2.90
2 Au 0.5000 0.5000 0.0000  4 Re 2.83, 4 Pt 2.83, 4 Au 2.90
3 Pt 0.2500 0.7500 0.5000  8 Au 2.83, 4 Re 2.90
4 Re 0.7500 0.2500 0.5000  8 Au 2.83, 4 Pt 2.90

The size of the total moment is 0.000 μB/atom. The calculation puts the calculated density at 19.64 g cm⁻³. As for the space group: I4/mmm. The formation energy is 0.50 eV per atom. For the energy, the calculation gives -5.763 eV/atom. Its energy above the most stable polymorph in this dataset is 0.378 eV/atom. Its density of states at the Fermi level is 0.945 states/eV/atom.

[2]
Compound: PmSb2Ru
Source: Alexandria via LeMat-Bulk
Functional: PBE
Structure: optimized geometry

Lattice parameters (Å, degrees): 4.4284 4.4284 9.8655 90.00 90.00 90.00
Closest atoms and distances in Å follow each position.
Fractional coordinates of all 8 atoms:
1 Pm 0.0000 0.5000 0.2453  4 Ru 3.28, 8 Sb 3.28-3.35
2 Pm 0.5000 0.0000 0.7547  4 Ru 3.28, 8 Sb 3.28-3.35
3 Sb 0.5000 0.0000 0.1455  4 Ru 2.64
4 Sb 0.0000 0.5000 0.8545  4 Ru 2.64
5 Sb 0.0000 0.0000 0.5000  4 Sb 3.13, 4 Pm 3.35
6 Sb 0.5000 0.5000 0.5000  4 Sb 3.13, 4 Pm 3.35
7 Ru 0.5000 0.5000 0.0000  4 Sb 2.64
8 Ru 0.0000 0.0000 0.0000  4 Sb 2.64

The size of the total moment is 0.000 μB/atom. The calculation puts the calculated density at 8.40 g cm⁻³. As for the space group: P4/nmm. For the energy relative to the elements, uncorrected, the calculation gives -0.6724 eV/atom. For the energy, the calculation gives -6.240 eV/atom. Its energy above the most stable polymorph in this dataset is 0.000 eV/atom. Its density of states at the Fermi level is 0.355 states/eV/atom.

[3]
Compound: Tb2CuTe
Source: Alexandria via LeMat-Bulk
Functional: PBE
Structure: optimized geometry

Lattice parameters (Å, degrees): 3.7809 3.7809 6.8402 90.00 90.00 90.00
Closest atoms and distances in Å follow each position.
Fractional coordinates of all 4 atoms:
1 Te 0.5000 0.5000 0.5000  8 Tb 3.23, 2 Cu 3.42
2 Tb 0.0000 0.0000 0.7641  4 Cu 3.12, 4 Te 3.23, 1 Tb 3.23
3 Tb 0.0000 0.0000 0.2359  4 Cu 3.12, 4 Te 3.23, 1 Tb 3.23
4 Cu 0.5000 0.5000 0.0000  8 Tb 3.12, 2 Te 3.42

The size of the total moment is 0.149 μB/atom. The calculation puts the calculated density at 8.64 g cm⁻³. As for the space group: P4/mmm. For the energy relative to the elements, uncorrected, the calculation gives -0.6055 eV/atom. For the energy, the calculation gives -4.730 eV/atom. Its energy above the most stable polymorph in this dataset is 0.155 eV/atom. Its density of states at the Fermi level is 1.079 states/eV/atom.

[4]
Compound: SrAc3Pr2Te6
Source: Alexandria via LeMat-Bulk
Functional: PBE
Structure: optimized geometry

Lattice parameters (Å, degrees): 4.6517 9.3568 10.4241 102.96 102.89 90.00
Closest atoms and distances in Å follow each position.
Fractional coordinates of all 12 atoms:
1 Sr 0.5000 0.0000 0.0000  6 Te 3.27
2 Ac 0.5000 0.5000 0.0000  6 Te 3.30-3.33
3 Ac 0.8333 0.1707 0.6665  6 Te 3.31-3.39
4 Ac 0.1667 0.8293 0.3335  6 Te 3.31-3.39
5 Pr 0.8285 0.6571 0.6570  6 Te 3.19-3.30
6 Pr 0.1715 0.3429 0.3430  6 Te 3.19-3.30
7 Te 0.3347 0.9094 0.6694  1 Sr 3.27, 2 Pr 3.30, 3 Ac 3.32-3.38
8 Te 0.6671 0.5771 0.3341  3 Pr 3.19-3.21, 3 Ac 3.30-3.31
9 Te 0.6653 0.0906 0.3306  1 Sr 3.27, 2 Pr 3.30, 3 Ac 3.32-3.38
10 Te 0.0045 0.2476 0.0090  2 Sr 3.27, 1 Pr 3.30, 3 Ac 3.33-3.39
11 Te 0.9955 0.7524 0.9910  2 Sr 3.27, 1 Pr 3.30, 3 Ac 3.33-3.39
12 Te 0.3329 0.4229 0.6659  3 Pr 3.19-3.21, 3 Ac 3.30-3.31

The size of the total moment is 0.000 μB/atom. The calculation puts the calculated density at 7.01 g cm⁻³. As for the space group: C2/m. For the energy relative to the elements, uncorrected, the calculation gives -1.5078 eV/atom. For the energy, the calculation gives -5.043 eV/atom. Its density of states at the Fermi level is 0.504 states/eV/atom.

[5]
Compound: KTlPdF6
Source: Alexandria via LeMat-Bulk
Functional: PBE
Structure: optimized geometry

Lattice parameters (Å, degrees): 6.3427 5.7516 5.8127 86.64 83.69 55.47
Closest atoms and distances in Å follow each position.
Fractional coordinates of all 9 atoms:
1 K 0.9717 0.0531 0.0017  6 F 2.69-2.78
2 Tl 0.3113 0.3769 0.5003  4 F 2.09-2.30
3 Pd 0.6657 0.6676 0.5001  4 F 2.00-2.01
4 F 0.9978 0.3657 0.3287  1 Pd 2.01
5 F 0.3486 0.9860 0.6736  1 Pd 2.00
6 F 0.6347 0.3712 0.6680  1 Pd 2.01
7 F 0.0483 0.6083 0.7823  1 Tl 2.09
8 F 0.3510 0.5934 0.2147  1 Tl 2.10
9 F 0.6706 0.9779 0.3306  1 Pd 2.00

The size of the total moment is 0.007 μB/atom. The calculation puts the calculated density at 4.44 g cm⁻³. As for the space group: P1. For the energy relative to the elements, uncorrected, the calculation gives -1.8303 eV/atom. For the energy, the calculation gives -4.040 eV/atom.

[6]
Compound: La5P4Br
Source: Alexandria via LeMat-Bulk
Functional: PBE
Structure: optimized geometry

Lattice parameters (Å, degrees): 6.0472 7.4215 7.4215 80.45 65.96 65.96
Closest atoms and distances in Å follow each position.
Fractional coordinates of all 10 atoms:
1 La 0.8946 0.4215 0.7914  5 P 2.91-3.07, 1 Br 3.19
2 La 0.3161 0.7914 0.5785  5 P 2.91-3.07, 1 Br 3.19
3 La 0.6860 0.2086 0.4215  5 P 2.91-3.07, 1 Br 3.19
4 La 0.1075 0.5785 0.2086  5 P 2.91-3.07, 1 Br 3.19
5 La 0.5012 0.0000 0.0000  4 P 3.01, 2 Br 3.02
6 P 0.3984 0.3991 0.8062  6 La 2.91-3.07
7 P 0.7975 0.8062 0.6009  6 La 2.91-3.07
8 P 0.2045 0.1938 0.3991  6 La 2.91-3.07
9 P 0.6037 0.6009 0.1938  6 La 2.91-3.07
10 Br 0.0010 0.0000 0.0000  6 La 3.02-3.19

The size of the total moment is 0.000 μB/atom. The calculation puts the calculated density at 5.37 g cm⁻³. As for the space group: I4/m. For the energy relative to the elements, uncorrected, the calculation gives -1.6182 eV/atom. For the energy, the calculation gives -6.413 eV/atom. Its density of states at the Fermi level is 0.364 states/eV/atom.

[7]
Compound: Mg2ScAu3
Source: Alexandria via LeMat-Bulk
Functional: PBE
Structure: optimized geometry

Lattice parameters (Å, degrees): 3.3304 3.3304 10.1014 90.00 90.00 90.00
Closest atoms and distances in Å follow each position.
Fractional coordinates of all 6 atoms:
1 Mg 0.5000 0.5000 0.8374  8 Au 2.87-2.90
2 Mg 0.5000 0.5000 0.1626  8 Au 2.87-2.90
3 Sc 0.5000 0.5000 0.5000  8 Au 2.92
4 Au 0.0000 0.0000 0.0000  8 Mg 2.87
5 Au 0.0000 0.0000 0.6705  4 Mg 2.90, 4 Sc 2.92
6 Au 0.0000 0.0000 0.3295  4 Mg 2.90, 4 Sc 2.92

The size of the total moment is 0.000 μB/atom. The calculation puts the calculated density at 10.14 g cm⁻³. As for the space group: P4/mmm. The formation energy is -0.69 eV per atom. For the energy, the calculation gives -3.911 eV/atom. Its energy above the most stable polymorph in this dataset is 0.010 eV/atom. Its density of states at the Fermi level is 0.356 states/eV/atom.

[8]
Compound: Fe2CoSi
Source: Alexandria via LeMat-Bulk
Functional: PBE
Structure: optimized geometry

Lattice parameters (Å, degrees): 3.7280 3.4600 3.4600 90.00 90.00 90.00
Closest atoms and distances in Å follow each position.
Fractional coordinates of all 4 atoms:
1 Si 0.5000 0.5000 0.0000  4 Co 2.45, 8 Fe 2.54
2 Co 0.5000 0.0000 0.5000  4 Si 2.45, 8 Fe 2.54
3 Fe 0.0000 0.0000 0.0000  4 Fe 2.45, 4 Co 2.54, 4 Si 2.54
4 Fe 0.0000 0.5000 0.5000  4 Fe 2.45, 4 Co 2.54, 4 Si 2.54

The size of the total moment is 1.267 μB/atom. The calculation puts the calculated density at 7.39 g cm⁻³. As for the space group: P4/mmm. For the energy relative to the elements, uncorrected, the calculation gives -0.2696 eV/atom. For the energy, the calculation gives -7.633 eV/atom. Its density of states at the Fermi level is 0.890 states/eV/atom.